CrW3: relaxed, GGA-PBE.

Cell lengths 2.7807, 2.7807, 9.3787 Å; angles 90.00, 90.00, 120.00 degrees
With the nearest neighbours (Å) after each atom.
Space group P-6m2 (No. 187)
Symmetry-distinct sites (fractional):
Cr 0.0000 0.0000 0.0000 x1  6 W 2.75, 6 Cr 2.78
W 0.0000 0.0000 0.5000 x1  12 W 2.78-2.94
W 0.3333 0.6667 0.2377 x2  3 Cr 2.75, 9 W 2.78-2.94

Computed properties:
Magnetization (μB/cell): 2.135
E_form (eV per atom): 0.529